No. 1
Entry from Alexandria: a relaxed structure of Pm5Y5Ho2 (GGA-PBE).

abc: 8.035 8.035 11.371
angles: 115.11 115.11 36.94
Fractional coordinates of all 12 atoms:
1 Pm 0.000 0.000 0.000
2 Pm 0.083 0.083 0.750
3 Pm 0.167 0.167 0.499
4 Pm 0.833 0.833 0.501
5 Pm 0.917 0.917 0.250
6 Y 0.249 0.249 0.249
7 Y 0.333 0.333 0.999
8 Y 0.500 0.500 0.500
9 Y 0.667 0.667 0.001
10 Y 0.751 0.751 0.751
11 Ho 0.417 0.417 0.750
12 Ho 0.583 0.583 0.250

Results
The calculation puts the formation energy at 0.21 eV per formula unit. The calculation puts the energy above the most stable polymorph in this dataset at 0.000 eV per atom. The space-group type is C2/m.

---

No. 2
Entry from Alexandria: a relaxed structure of CaZnInRe2 (GGA-PBE).

abc: 4.947 4.947 5.362
angles: 90.00 90.00 90.00
Fractional coordinates of all 5 atoms:
1 Ca 0.000 0.000 0.000
2 Zn 0.500 0.500 0.000
3 In 0.000 0.000 0.500
4 Re 0.000 0.500 0.500
5 Re 0.500 0.000 0.500

Results
The calculation puts the formation energy at 10.44 eV per formula unit. The space-group type is P4/mmm.

---

No. 3
Entry from Alexandria: a relaxed structure of Y2C (GGA-PBE).

abc: 6.261 6.261 6.261
angles: 90.00 90.00 90.00
Fractional coordinates of all 12 atoms:
1 Y 0.169 0.169 0.169
2 Y 0.169 0.331 0.669
3 Y 0.331 0.669 0.169
4 Y 0.331 0.831 0.669
5 Y 0.669 0.169 0.331
6 Y 0.669 0.331 0.831
7 Y 0.831 0.669 0.331
8 Y 0.831 0.831 0.831
9 C 0.000 0.000 0.500
10 C 0.000 0.500 0.000
11 C 0.500 0.000 0.000
12 C 0.500 0.500 0.500

Results
The calculation puts the formation energy at -0.04 eV per formula unit. The space-group type is Pa-3.

---

No. 4
Entry from Alexandria: a relaxed structure of Na3NiAs (GGA-PBE).

abc: 5.500 5.500 5.500
angles: 90.00 90.00 90.00
Fractional coordinates of all 5 atoms:
1 Na 0.000 0.000 0.500
2 Na 0.000 0.500 0.000
3 Na 0.500 0.000 0.000
4 Ni 0.500 0.500 0.500
5 As 0.000 0.000 0.000

Results
The calculation puts the formation energy at 2.52 eV per formula unit. The calculation puts the energy above the most stable polymorph in this dataset at 0.000 eV per atom. The space-group type is Pm-3m.

---

No. 5
Entry from Alexandria: a relaxed structure of LiLuNiRh (GGA-PBE).

abc: 6.290 6.290 6.290
angles: 90.00 90.00 90.00
Fractional coordinates of all 16 atoms:
1 Li 0.000 0.000 0.000
2 Li 0.000 0.500 0.500
3 Li 0.500 0.000 0.500
4 Li 0.500 0.500 0.000
5 Lu 0.000 0.000 0.500
6 Lu 0.000 0.500 0.000
7 Lu 0.500 0.000 0.000
8 Lu 0.500 0.500 0.500
9 Ni 0.250 0.250 0.750
10 Ni 0.250 0.750 0.250
11 Ni 0.750 0.250 0.250
12 Ni 0.750 0.750 0.750
13 Rh 0.250 0.250 0.250
14 Rh 0.250 0.750 0.750
15 Rh 0.750 0.250 0.750
16 Rh 0.750 0.750 0.250

Results
The calculation puts the formation energy at -1.64 eV per formula unit. The space-group type is F-43m.

---

No. 6
Entry from Alexandria: a relaxed structure of Al2SiHg (GGA-PBE).

abc: 6.737 6.737 6.737
angles: 90.00 90.00 90.00
Fractional coordinates of all 16 atoms:
1 Al 0.000 0.000 0.000
2 Al 0.000 0.500 0.500
3 Al 0.250 0.250 0.250
4 Al 0.250 0.750 0.750
5 Al 0.500 0.000 0.500
6 Al 0.500 0.500 0.000
7 Al 0.750 0.250 0.750
8 Al 0.750 0.750 0.250
9 Si 0.000 0.000 0.500
10 Si 0.000 0.500 0.000
11 Si 0.500 0.000 0.000
12 Si 0.500 0.500 0.500
13 Hg 0.250 0.250 0.750
14 Hg 0.250 0.750 0.250
15 Hg 0.750 0.250 0.250
16 Hg 0.750 0.750 0.750

Results
The calculation puts the energy above the most stable polymorph in this dataset at 0.224 eV per atom. The space-group type is F-43m. The formation energy from raw total energies comes out at 0.398 eV per atom.

---

No. 7
Entry from Alexandria: a relaxed structure of SnRhN3 (GGA-PBE).

abc: 4.057 4.057 4.057
angles: 90.00 90.00 90.00
Fractional coordinates of all 5 atoms:
1 Sn 0.000 0.000 0.000
2 Rh 0.500 0.500 0.500
3 N 0.000 0.000 0.500
4 N 0.000 0.500 0.000
5 N 0.500 0.000 0.000

Results
The space-group type is Pm-3m. The formation energy from raw total energies comes out at 2.054 eV per atom.

---

No. 8
Entry from Alexandria: a relaxed structure of ScOsCl2 (GGA-PBE).

abc: 3.254 5.142 10.716
angles: 90.00 90.00 90.00
Fractional coordinates of all 8 atoms:
1 Sc 0.000 0.000 0.000
2 Sc 0.500 0.500 0.000
3 Os 0.000 0.000 0.500
4 Os 0.500 0.500 0.500
5 Cl 0.000 0.500 0.174
6 Cl 0.000 0.500 0.826
7 Cl 0.500 0.000 0.174
8 Cl 0.500 0.000 0.826

Results
The calculation puts the energy above the most stable polymorph in this dataset at 0.679 eV per atom. The space-group type is Cmmm. The formation energy from raw total energies comes out at 0.132 eV per atom.

---

No. 9
Entry from Alexandria: a relaxed structure of KTcBr2 (GGA-PBE).

abc: 3.874 3.937 14.982
angles: 90.00 90.00 90.00
Fractional coordinates of all 8 atoms:
1 K 0.000 0.000 0.000
2 K 0.500 0.500 0.500
3 Tc 0.000 0.500 0.752
4 Tc 0.500 0.000 0.252
5 Br 0.000 0.000 0.390
6 Br 0.000 0.500 0.176
7 Br 0.500 0.000 0.676
8 Br 0.500 0.500 0.890

Results
The calculation puts the energy above the most stable polymorph in this dataset at 0.112 eV per atom. The space-group type is Imm2. The formation energy from raw total energies comes out at -0.080 eV per atom.

---

No. 10
Entry from Alexandria: a relaxed structure of Si2AsBr (GGA-PBE).

abc: 3.184 3.184 8.379
angles: 90.00 90.00 90.00
Fractional coordinates of all 4 atoms:
1 Si 0.000 0.000 0.000
2 Si 0.500 0.500 0.167
3 As 0.000 0.000 0.340
4 Br 0.500 0.500 0.749

Results
The calculation puts the energy above the most stable polymorph in this dataset at 0.301 eV per atom. The space-group type is P4mm. The formation energy from raw total energies comes out at 0.359 eV per atom.

---

No. 11
Entry from Alexandria: a relaxed structure of NdTm2Si2Pt7 (GGA-PBE).

abc: 4.053 4.053 13.844
angles: 96.52 96.52 89.31
Fractional coordinates of all 12 atoms:
1 Nd 0.000 0.000 0.000
2 Tm 0.123 0.123 0.359
3 Tm 0.877 0.877 0.641
4 Si 0.397 0.397 0.737
5 Si 0.603 0.603 0.263
6 Pt 0.068 0.567 0.169
7 Pt 0.359 0.359 0.569
8 Pt 0.433 0.932 0.831
9 Pt 0.500 0.500 0.000
10 Pt 0.567 0.068 0.169
11 Pt 0.641 0.641 0.431
12 Pt 0.932 0.433 0.831

Results
The space-group type is C2/m. The formation energy from raw total energies comes out at -1.054 eV per atom.

---

No. 12
Entry from Alexandria: a relaxed structure of Na2ReF7 (GGA-PBE).

abc: 7.081 7.081 8.860
angles: 123.44 123.44 52.45
Fractional coordinates of all 20 atoms:
1 Na 0.109 0.279 0.290
2 Na 0.279 0.109 0.790
3 Na 0.721 0.891 0.210
4 Na 0.891 0.721 0.710
5 Re 0.367 0.633 0.250
6 Re 0.633 0.367 0.750
7 F 0.052 0.948 0.250
8 F 0.134 0.549 0.232
9 F 0.232 0.586 0.976
10 F 0.261 0.500 0.629
11 F 0.414 0.768 0.524
12 F 0.451 0.866 0.268
13 F 0.500 0.261 0.129
14 F 0.500 0.739 0.871
15 F 0.549 0.134 0.732
16 F 0.586 0.232 0.476
17 F 0.739 0.500 0.371
18 F 0.768 0.414 0.024
19 F 0.866 0.451 0.768
20 F 0.948 0.052 0.750

Results
The space-group type is C2/c. The formation energy from raw total energies comes out at -2.411 eV per atom.

---

No. 13
Entry from Alexandria: a relaxed structure of Sc5PSe4 (GGA-PBE).

abc: 6.688 6.688 6.688
angles: 99.44 99.44 132.21
Fractional coordinates of all 10 atoms:
1 Sc 0.000 0.000 0.000
2 Sc 0.223 0.406 0.628
3 Sc 0.406 0.777 0.183
4 Sc 0.594 0.223 0.817
5 Sc 0.777 0.594 0.372
6 P 0.500 0.500 0.000
7 Se 0.095 0.696 0.791
8 Se 0.304 0.095 0.398
9 Se 0.696 0.905 0.602
10 Se 0.905 0.304 0.209

Results
The calculation puts the energy above the most stable polymorph in this dataset at 0.000 eV per atom. The space-group type is I4/m. The formation energy from raw total energies comes out at -1.624 eV per atom.

---

No. 14
Entry from Alexandria: a relaxed structure of Sr2CaGa2O6 (GGA-PBE).

abc: 6.950 6.950 6.950
angles: 50.84 50.84 50.84
Fractional coordinates of all 11 atoms:
1 Sr 0.195 0.195 0.195
2 Sr 0.805 0.805 0.805
3 Ca 0.000 0.000 0.000
4 Ga 0.421 0.421 0.421
5 Ga 0.579 0.579 0.579
6 O 0.231 0.748 0.748
7 O 0.252 0.252 0.769
8 O 0.252 0.769 0.252
9 O 0.748 0.231 0.748
10 O 0.748 0.748 0.231
11 O 0.769 0.252 0.252

Results
The space-group type is R-3m. The formation energy from raw total energies comes out at -2.253 eV per atom.

---

No. 15
Entry from Alexandria: a relaxed structure of NaSiAs (GGA-PBE).

abc: 3.701 3.701 17.512
angles: 90.00 90.00 120.00
Fractional coordinates of all 9 atoms:
1 Na 0.000 0.000 0.000
2 Na 0.333 0.667 0.667
3 Na 0.667 0.333 0.333
4 Si 0.000 0.000 0.201
5 Si 0.333 0.667 0.868
6 Si 0.667 0.333 0.535
7 As 0.000 0.000 0.799
8 As 0.333 0.667 0.466
9 As 0.667 0.333 0.133

Results
The space-group type is R3m. The formation energy from raw total energies comes out at -0.212 eV per atom.

---

No. 16
Entry from Alexandria: a relaxed structure of Ce4Hg (GGA-PBE).

abc: 7.397 7.397 6.575
angles: 102.22 102.22 50.59
Fractional coordinates of all 10 atoms:
1 Ce 0.037 0.037 0.280
2 Ce 0.115 0.571 0.424
3 Ce 0.404 0.404 0.882
4 Ce 0.429 0.885 0.576
5 Ce 0.571 0.115 0.424
6 Ce 0.596 0.596 0.118
7 Ce 0.885 0.429 0.576
8 Ce 0.963 0.963 0.720
9 Hg 0.195 0.195 0.011
10 Hg 0.805 0.805 0.989

Results
The calculation puts the formation energy at 0.06 eV per formula unit. The calculation puts the energy above the most stable polymorph in this dataset at 0.106 eV per atom. The space-group type is C2/m.

---

No. 17
Entry from Alexandria: a relaxed structure of Li2In (GGA-PBE).

abc: 2.901 16.241 4.884
angles: 90.00 90.00 90.00
Fractional coordinates of all 12 atoms:
1 Li 0.000 0.048 0.250
2 Li 0.000 0.282 0.750
3 Li 0.000 0.718 0.250
4 Li 0.000 0.952 0.750
5 Li 0.500 0.218 0.250
6 Li 0.500 0.452 0.750
7 Li 0.500 0.548 0.250
8 Li 0.500 0.782 0.750
9 In 0.000 0.383 0.250
10 In 0.000 0.617 0.750
11 In 0.500 0.117 0.750
12 In 0.500 0.883 0.250

Results
The calculation puts the formation energy at -0.69 eV per formula unit. The space-group type is Cmcm.

---

No. 18
Entry from Alexandria: a relaxed structure of Be2AsIrCl (GGA-PBE).

abc: 4.126 4.126 5.017
angles: 90.00 90.00 90.00
Fractional coordinates of all 5 atoms:
1 Be 0.000 0.500 0.000
2 Be 0.500 0.000 0.000
3 As 0.000 0.000 0.000
4 Ir 0.500 0.500 0.500
5 Cl 0.000 0.000 0.500

Results
The space-group type is P4/mmm. The formation energy from raw total energies comes out at 1.220 eV per atom.

---

No. 19
Entry from Alexandria: a relaxed structure of TaNb14Ge (GGA-PBE).

abc: 6.622 6.622 6.626
angles: 90.00 90.00 90.00
Fractional coordinates of all 16 atoms:
1 Ta 0.000 0.000 0.000
2 Nb 0.000 0.000 0.500
3 Nb 0.000 0.500 0.000
4 Nb 0.000 0.500 0.500
5 Nb 0.249 0.249 0.251
6 Nb 0.249 0.249 0.749
7 Nb 0.249 0.751 0.251
8 Nb 0.249 0.751 0.749
9 Nb 0.500 0.000 0.000
10 Nb 0.500 0.000 0.500
11 Nb 0.500 0.500 0.500
12 Nb 0.751 0.249 0.251
13 Nb 0.751 0.249 0.749
14 Nb 0.751 0.751 0.251
15 Nb 0.751 0.751 0.749
16 Ge 0.500 0.500 0.000

Results
The calculation puts the formation energy at -1.00 eV per formula unit. The space-group type is P4/mmm.

---

No. 20
Entry from Alexandria: a relaxed structure of Pm10SmTm4 (GGA-PBE).

abc: 8.859 8.859 8.859
angles: 111.74 111.74 105.03
Fractional coordinates of all 15 atoms:
1 Pm 0.050 0.395 0.106
2 Pm 0.057 0.950 0.345
3 Pm 0.250 0.750 0.500
4 Pm 0.288 0.943 0.894
5 Pm 0.395 0.288 0.345
6 Pm 0.605 0.712 0.655
7 Pm 0.712 0.057 0.106
8 Pm 0.750 0.250 0.500
9 Pm 0.943 0.050 0.655
10 Pm 0.950 0.605 0.894
11 Sm 0.000 0.000 0.000
12 Tm 0.222 0.444 0.666
13 Tm 0.444 0.778 0.222
14 Tm 0.556 0.222 0.778
15 Tm 0.778 0.556 0.334

Results
The calculation puts the formation energy at 6.68 eV per formula unit. The space-group type is I4/m.

---

Respective final energy values: -5.419 -4.094 -7.397 -2.373 -5.302 -2.904 -5.212 -5.182 -3.783 -3.933 -6.625 -5.229 -6.725 -5.995 -4.009 -4.795 -2.420 -3.342 -9.903 -4.229 eV/atom.
Respective total moment values: 0.00 0.00 0.00 0.39 0.00 0.00 0.06 0.66 1.01 0.00 0.00 0.20 0.00 0.00 0.00 0.21 0.00 0.00 0.00 0.00 μB/atom.